1.
Compound: ZrNbPO
Source: the Open Quantum Materials Database
Functional: PBE-GGA
Structure: optimized geometry

Computed properties:
SG: Pmc2_1, No. 26
Calculated volume: 127.6 Å³ per cell
Theoretical density: 6.0 g cm⁻³
Distance to the lowest polymorph of the same formula: 92 meV/atom
E_tot: -8.77 eV per atom

a = 3.469 Å, b = 5.911 Å, c = 6.223 Å
α = 90.00°, β = 90.00°, γ = 90.00°
Positions (direct):
Zr (0.500, 0.085, 0.425)
Zr (0.500, 0.915, 0.925)
O (0.000, 0.726, 0.922)
O (0.000, 0.274, 0.422)
Nb (0.000, 0.402, 0.101)
Nb (0.000, 0.598, 0.601)
P (0.500, 0.331, 0.806)
P (0.500, 0.669, 0.306)


2.
Compound: ZrNbPO
Source: the Open Quantum Materials Database
Functional: PBE-GGA
Structure: optimized geometry

Computed properties:
SG: P4/nmm, No. 129
Calculated volume: 117.4 Å³ per cell
Theoretical density: 6.5 g cm⁻³
Distance to the lowest polymorph of the same formula: 625 meV/atom
E_tot: -8.24 eV per atom

a = 3.752 Å, b = 3.752 Å, c = 8.337 Å
α = 90.00°, β = 90.00°, γ = 90.00°
Positions (direct):
P (0.000, 0.500, 0.733)
P (0.500, 0.000, 0.267)
O (0.000, 0.000, 0.000)
O (0.500, 0.500, 0.000)
Zr (0.500, 0.500, 0.500)
Zr (0.000, 0.000, 0.500)
Nb (0.000, 0.500, 0.147)
Nb (0.500, 0.000, 0.853)


3.
Compound: ZrNbPO
Source: the Open Quantum Materials Database
Functional: PBE-GGA
Structure: optimized geometry

Computed properties:
SG: P4/nmm, No. 129
Calculated volume: 119.5 Å³ per cell
Theoretical density: 6.4 g cm⁻³
Distance to the lowest polymorph of the same formula: 0 meV/atom
E_tot: -8.86 eV per atom

a = 3.778 Å, b = 3.778 Å, c = 8.373 Å
α = 90.00°, β = 90.00°, γ = 90.00°
Positions (direct):
Nb (0.000, 0.000, 0.500)
Nb (0.500, 0.500, 0.500)
P (0.500, 0.000, 0.287)
P (0.000, 0.500, 0.713)
O (0.500, 0.500, 0.000)
O (0.000, 0.000, 0.000)
Zr (0.000, 0.500, 0.144)
Zr (0.500, 0.000, 0.856)